Entry 1:
A plane-wave DFT calculation with PBE was carried out for a geometry-optimized LiNbF2 structure.

Computed properties:
space-group type	R-3m (166)
E_form (uncorrected)	-2.152	eV per atom
uncorrected energy	-6.0837	eV/atom
magnetization	0.00	μB/f.u.
energy above the most stable polymorph in this dataset	0.0000	eV per atom

a = 6.699 Å, b = 6.699 Å, c = 6.699 Å
α = 24.87°, β = 24.87°, γ = 24.87°
Sites, in units of the cell vectors:
1 Li 0.500 0.500 0.500
2 F 0.891 0.891 0.891
3 F 0.109 0.109 0.109
4 Nb 0.000 0.000 0.000


Entry 2:
A plane-wave DFT calculation with PBE was carried out for a geometry-optimized Li5Nb3OF18 structure.

Computed properties:
space-group type	I4cm (108)
E_form (uncorrected)	-2.986	eV per atom
uncorrected energy	-5.8906	eV/atom
magnetization	0.11	μB/f.u.

a = 9.266 Å, b = 10.181 Å, c = 10.181 Å
α = 78.05°, β = 62.93°, γ = 62.93°
Sites, in units of the cell vectors:
1 Li 0.478 0.298 0.845
2 Li 0.622 0.702 0.155
3 Li 0.276 0.702 0.845
4 Li 0.042 0.500 0.500
5 Li 0.122 0.155 0.702
6 Li 0.978 0.845 0.298
7 Li 0.776 0.845 0.702
8 Li 0.824 0.298 0.155
9 Li 0.324 0.155 0.298
10 Li 0.542 0.500 0.500
11 F 0.016 0.366 0.666
12 F 0.810 0.078 0.294
13 F 0.605 0.078 0.706
14 F 0.888 0.294 0.922
15 F 0.570 0.113 0.179
16 F 0.183 0.922 0.706
17 F 0.382 0.666 0.634
18 F 0.739 0.500 0.077
19 F 0.516 0.666 0.366
20 F 0.070 0.179 0.113
21 F 0.893 0.156 0.500
22 F 0.156 0.810 0.500
23 F 0.249 0.113 0.821
24 F 0.048 0.634 0.334
25 F 0.183 0.887 0.179
26 F 0.393 0.500 0.156
27 F 0.862 0.887 0.821
28 F 0.817 0.923 0.500
29 F 0.239 0.077 0.500
30 F 0.682 0.334 0.366
31 F 0.967 0.500 0.190
32 F 0.656 0.500 0.810
33 F 0.310 0.294 0.078
34 F 0.182 0.366 0.334
35 F 0.362 0.821 0.887
36 F 0.105 0.706 0.078
37 F 0.467 0.190 0.500
38 F 0.049 0.500 0.844
39 F 0.388 0.922 0.294
40 F 0.548 0.334 0.634
41 F 0.549 0.844 0.500
42 F 0.683 0.179 0.887
43 F 0.317 0.500 0.923
44 F 0.882 0.634 0.666
45 F 0.683 0.706 0.922
46 F 0.749 0.821 0.113
47 O 0.452 0.000 0.000
48 O 0.952 0.000 0.000
49 Nb 0.339 0.852 0.500
50 Nb 0.762 0.000 0.000
51 Nb 0.690 0.148 0.500
52 Nb 0.190 0.500 0.148
53 Nb 0.262 0.000 0.000
54 Nb 0.839 0.500 0.852